# PBE+U Co2NiIrO8, relaxed
# Magnetization: 0.44 μB/atom
# Total DFT energy (no corrections): -5.53 eV per atom
data_Co2NiIrO8
_chemical_formula_sum 'Co4 Ni2 Ir2 O16'
_cell_length_a 6.3151
_cell_length_b 6.3151
_cell_length_c 6.5884
_cell_angle_alpha 90.00
_cell_angle_beta 90.00
_cell_angle_gamma 90.00
_space_group_name_H-M_alt 'I -4 m 2'
_space_group_IT_number 119
_space_group_name_Hall 'I -4 -2'
loop_
_atom_site_label
_atom_site_type_symbol
_atom_site_fract_x
_atom_site_fract_y
_atom_site_fract_z
_atom_site_occupancy
Co1 Co 0.0000 0.0000 0.0000 1
Co2 Co 0.0000 0.5000 0.2500 1
Ni1 Ni 0.0000 0.0000 0.5000 1
Ir1 Ir 0.0000 0.5000 0.7500 1
O1 O 0.0000 0.2045 0.7993 1
O2 O 0.0000 0.3234 0.4552 1